The following is a PBE calculation of a geometry-optimized BaGaF5 structure, from the Alexandria database.

It has space group C2/c (No. 15), with a = 9.459 Å, b = 6.619 Å, c = 8.281 Å, α = 90.00°, β = 114.40° and γ = 90.00°. The asymmetric unit holds Ba at (0.000, 0.032, 0.250), Ga at (0.000, 0.500, 0.000), F at (0.000, 0.457, 0.250), F at (0.071, 0.227, 0.012) and F at (0.201, 0.403, 0.606).

=====

The following is a PBE calculation of a geometry-optimized BaGa2F7 structure, from the Alexandria database.

It has space group Cmmm (No. 65), with a = 6.748 Å, b = 10.610 Å, c = 4.000 Å, α = 90.00°, β = 90.00° and γ = 90.00°. The asymmetric unit holds Ba at (0.000, 0.000, 0.000), Ga at (0.000, 0.311, 0.500), F at (0.000, 0.293, 0.000), F at (0.000, 0.500, 0.500) and F at (0.187, 0.141, 0.500).

=====

The following is a PBE calculation of a geometry-optimized BaGa2F structure, from the Alexandria database.

It has space group I-42d (No. 122), with a = 3.808 Å, b = 3.808 Å, c = 27.369 Å, α = 90.00°, β = 90.00° and γ = 90.00°. The asymmetric unit holds Ba at (0.000, 0.000, 0.000), Ga at (0.250, 0.250, 0.125) and F at (0.000, 0.000, 0.500).

The relative energy among the computed polymorphs comes out at 0.0000 eV/atom.

=====

Sequential final energy output: -5.214, -4.848, -3.835 eV per atom
Sequential magnetic moment output: 0.0, 0.0, 0.0 Bohr magnetons per cell